Record 1
First-principles (PBE) data for SrFeRh3 after structural relaxation, as listed in Alexandria.

The formation energy comes out at 0.337 eV per atom. The total energy comes out at -0.2243 hartree per atom.

It has space group Pm-3m (No. 221), with a = 4.6278 Å, b = 4.6278 Å, c = 4.6278 Å, α = 90.00°, β = 90.00° and γ = 90.00°. The asymmetric unit holds Sr at (0.0000, 0.0000, 0.0000), Fe at (0.5000, 0.5000, 0.5000) and Rh at (0.0000, 0.5000, 0.5000).

=====

Record 2
First-principles (PBE) data for SrFeRh2 after structural relaxation, as listed in Alexandria.

Its energy above the lowest structure with this stoichiometry is 662 meV per atom. The formation energy comes out at 0.637 eV per atom. The total energy comes out at -0.2049 hartree per atom.

It has space group Fm-3m (No. 225), with a = 6.5163 Å, b = 6.5163 Å, c = 6.5163 Å, α = 90.00°, β = 90.00° and γ = 90.00°. The asymmetric unit holds Sr at (0.0000, 0.0000, 0.0000), Fe at (0.0000, 0.0000, 0.5000) and Rh at (0.2500, 0.2500, 0.2500).

=====

Record 3
First-principles (PBE) data for SrFe2Rh after structural relaxation, as listed in Alexandria.

The formation energy comes out at 0.573 eV per atom. The total energy comes out at -0.2174 hartree per atom.

It has space group F-43m (No. 216), with a = 6.5299 Å, b = 6.5299 Å, c = 6.5299 Å, α = 90.00°, β = 90.00° and γ = 90.00°. The asymmetric unit holds Sr at (0.0000, 0.0000, 0.0000), Fe at (0.0000, 0.0000, 0.5000), Fe at (0.2500, 0.2500, 0.7500) and Rh at (0.2500, 0.2500, 0.2500).

=====

Record 4
First-principles (PBE) data for SrFe2Rh2 after structural relaxation, as listed in Alexandria.

Its energy above the lowest structure with this stoichiometry is 47 meV per atom. The formation energy comes out at 0.065 eV per atom. The total energy comes out at -0.2424 hartree per atom.

It has space group I4/mmm (No. 139), with a = 4.3570 Å, b = 4.3570 Å, c = 9.6314 Å, α = 90.00°, β = 90.00° and γ = 90.00°. The asymmetric unit holds Sr at (0.0000, 0.0000, 0.0000), Fe at (0.0000, 0.0000, 0.3754) and Rh at (0.0000, 0.5000, 0.2500).

=====

Record 5
First-principles (PBE) data for SrFe2Rh after structural relaxation, as listed in Alexandria.

The formation energy comes out at 0.624 eV per atom. The total energy comes out at -0.2156 hartree per atom.

It has space group I4/mmm (No. 139), with a = 3.9960 Å, b = 3.9960 Å, c = 8.9664 Å, α = 90.00°, β = 90.00° and γ = 90.00°. The asymmetric unit holds Sr at (0.0000, 0.0000, 0.0000), Fe at (0.0000, 0.5000, 0.2500) and Rh at (0.0000, 0.0000, 0.5000).

=====

Record 6
First-principles (PBE) data for SrFeRh after structural relaxation, as listed in Alexandria.

Its energy above the lowest structure with this stoichiometry is 107 meV per atom. The formation energy comes out at 0.094 eV per atom. The total energy comes out at -0.2109 hartree per atom.

It has space group P-6m2 (No. 187), with a = 4.1268 Å, b = 4.1268 Å, c = 4.7146 Å, α = 90.00°, β = 90.00° and γ = 120.00°. The asymmetric unit holds Sr at (0.0000, 0.0000, 0.0000), Fe at (0.6667, 0.3333, 0.5000) and Rh at (0.3333, 0.6667, 0.5000).

=====

Record 7
First-principles (PBE) data for SrFe2Rh after structural relaxation, as listed in Alexandria.

The formation energy comes out at 0.507 eV per atom. The total energy comes out at -0.2199 hartree per atom.

It has space group Imm2 (No. 44), with a = 3.0148 Å, b = 4.9588 Å, c = 9.4428 Å, α = 90.00°, β = 90.00° and γ = 90.00°. The asymmetric unit holds Sr at (0.0000, 0.0000, 0.0000), Fe at (0.0000, 0.0000, 0.4954), Fe at (0.0000, 0.5000, 0.7899) and Rh at (0.0000, 0.5000, 0.2177).

=====

Record 8
First-principles (PBE) data for SrFeRh2 after structural relaxation, as listed in Alexandria.

Its energy above the lowest structure with this stoichiometry is 0 meV per atom. The formation energy comes out at -0.025 eV per atom. The total energy comes out at -0.2292 hartree per atom.

It has space group R-3m (No. 166, hexagonal axes), with a = 4.3049 Å, b = 4.3049 Å, c = 16.0268 Å, α = 90.00°, β = 90.00° and γ = 120.00°. The asymmetric unit holds Sr at (0.0000, 0.0000, 0.0000), Fe at (0.0000, 0.0000, 0.5000) and Rh at (0.0000, 0.0000, 0.1930).

=====

Record 9
First-principles (PBE) data for SrFeRh2 after structural relaxation, as listed in Alexandria.

Its energy above the lowest structure with this stoichiometry is 438 meV per atom. The formation energy comes out at 0.413 eV per atom. The total energy comes out at -0.2131 hartree per atom.

It has space group I-4m2 (No. 119), with a = 4.0747 Å, b = 4.0747 Å, c = 8.6464 Å, α = 90.00°, β = 90.00° and γ = 90.00°. The asymmetric unit holds Sr at (0.0000, 0.0000, 0.0000), Fe at (0.0000, 0.5000, 0.7500), Rh at (0.0000, 0.0000, 0.5000) and Rh at (0.0000, 0.5000, 0.2500).

=====

Record 10
First-principles (PBE) data for SrFe2Rh after structural relaxation, as listed in Alexandria.

The formation energy comes out at 0.653 eV per atom. The total energy comes out at -0.2145 hartree per atom.

It has space group R3m (No. 160, hexagonal axes), with a = 3.1135 Å, b = 3.1135 Å, c = 25.6044 Å, α = 90.00°, β = 90.00° and γ = 120.00°. The asymmetric unit holds Sr at (0.0000, 0.0000, 0.0000), Fe at (0.0000, 0.0000, 0.5005), Fe at (0.0000, 0.0000, 0.7689) and Rh at (0.0000, 0.0000, 0.2400).

=====

Record 11
First-principles (PBE) data for SrFe2Rh after structural relaxation, as listed in Alexandria.

The formation energy comes out at 0.492 eV per atom. The total energy comes out at -0.2204 hartree per atom.

It has space group I4_1/amd (No. 141, origin choice 2), with a = 4.6417 Å, b = 4.6417 Å, c = 17.1028 Å, α = 90.00°, β = 90.00° and γ = 90.00°. The asymmetric unit holds Sr at (0.0000, 0.2500, 0.3750), Fe at (0.0000, 0.0000, 0.0000) and Rh at (0.0000, 0.2500, 0.8750).

=====

Record 12
First-principles (PBE) data for SrFe4Rh after structural relaxation, as listed in Alexandria.

The formation energy comes out at 0.346 eV per atom. The total energy comes out at -0.2499 hartree per atom.

It has space group F-43m (No. 216), with a = 7.2016 Å, b = 7.2016 Å, c = 7.2016 Å, α = 90.00°, β = 90.00° and γ = 90.00°. The asymmetric unit holds Sr at (0.0000, 0.0000, 0.0000), Fe at (0.1246, 0.1246, 0.6246) and Rh at (0.2500, 0.2500, 0.2500).